The following is a DFT calculation (GGA-PBE) of a relaxed structure of K2BeHg.

Computed properties:
The calculation puts the density of states at the Fermi level at 0.42 states/eV/atom. Its total moment is 0.00 μB/atom. The crystal system is orthorhombic. As for the formation energy: 31 kJ per mole of atoms. The value obtained for the offset from the most stable computed form is 0.47 eV/f.u.

Unit cell a=3.7540 b=3.7540 c=10.1659 alpha=90.00 beta=90.00 gamma=99.66
Last column: nearest neighbours and their distance in Å.
Element x y z (fractional)
Be: 0.0000 0.0000 0.6074  2 Hg 2.46
K: 0.0000 0.0000 0.9235  1 Be 3.21
K: 0.5000 0.5000 0.3217  1 Hg 3.31
Hg: 0.5000 0.5000 0.6475  2 Be 2.46

---

The following is a DFT calculation (GGA-PBE) of a relaxed structure of Nd3GaRh8.

Computed properties:
The calculation puts the density of states at the Fermi level at 1.10 states/eV/atom. Its total moment is 0.00 μB/atom. The crystal system is trigonal. As for the formation energy: -51 kJ per mole of atoms.

Unit cell a=5.3585 b=5.3585 c=9.3016 alpha=73.26 beta=73.26 gamma=60.00
Last column: nearest neighbours and their distance in Å.
Element x y z (fractional)
Nd: 0.6237 0.6237 0.1288  12 Rh 3.14-3.18, 4 Nd 3.37-3.40
Nd: 0.0081 0.0081 0.9758  12 Rh 3.04-3.39, 1 Ga 3.29, 3 Nd 3.37
Nd: 0.4944 0.4944 0.5167  12 Rh 3.02-3.19, 3 Ga 3.18
Ga: 0.1331 0.1331 0.6008  12 Rh 2.91-3.26, 3 Nd 3.18
Rh: 0.5627 0.0627 0.8120  6 Rh 2.64-2.71
Rh: 0.0611 0.5585 0.3193  6 Rh 2.66-2.70, 1 Ga 2.91
Rh: 0.5627 0.5627 0.8120  6 Rh 2.64-2.71
Rh: 0.0611 0.0611 0.3193  6 Rh 2.66-2.70, 1 Ga 2.91
Rh: 0.8107 0.8107 0.5679  6 Rh 2.64-2.68
Rh: 0.3113 0.3113 0.0661  6 Rh 2.70-2.71
Rh: 0.0627 0.5627 0.8120  6 Rh 2.64-2.71
Rh: 0.5585 0.0611 0.3193  6 Rh 2.66-2.70, 1 Ga 2.91